{"formula": "AcPrGaRh", "functional": "PBE-GGA", "state": "optimized geometry", "lattice": [[-4.9136, 1.6825, 0.9975], [-4.1339, -2.4544, -2.2037], [-3.2404, -2.9228, 2.9878]], "species": ["Pr", "Ga", "Ac", "Rh"], "frac_coords": [[0.5000, 0.5000, 0.5000], [0.2500, 0.2500, 0.2500], [0.0000, 0.0000, 0.0000], [0.7500, 0.7500, 0.7500]], "dos_ef_per_ev_cell": 3.0, "formation_enthalpy_0k_ev_per_atom": -0.4509, "crystal_system": "cubic"}